Arrangement 1

This record from Alexandria via LeMat-Bulk describes Tc3Pd after structural relaxation. The functional is GGA-PBE.

The space group is P6_3/mmc (No. 194) and the conventional cell measures 5.5442, 5.5442 and 4.3990 Å, with angles of 90.00, 90.00 and 120.00 degrees. The distinct sites, in fractional coordinates, are Tc at (0.1583, 0.3166, 0.2500) and Pd at (0.3333, 0.6667, 0.7500).

Arrangement 2

This record from Alexandria via LeMat-Bulk describes Tc3Pd after structural relaxation. The functional is GGA-PBE.

The space group is I4/mmm (No. 139) and the conventional cell measures 3.9079, 3.9079 and 7.6564 Å, with angles of 90.00, 90.00 and 90.00 degrees. The distinct sites, in fractional coordinates, are Tc at (0.0000, 0.0000, 0.0000), Tc at (0.0000, 0.5000, 0.2500) and Pd at (0.0000, 0.0000, 0.5000).

What should be chosen as the least stable of them? Choose arrangement 2.

Arrangement 1

This record from Alexandria via LeMat-Bulk describes TcPd4 after structural relaxation. The functional is GGA-PBE.

The space group is Pm-3m (No. 221) and the conventional cell measures 4.7210, 4.7210 and 4.7210 Å, with angles of 90.00, 90.00 and 90.00 degrees. The distinct sites, in fractional coordinates, are Tc at (0.0000, 0.0000, 0.0000), Pd at (0.0000, 0.0000, 0.5000) and Pd at (0.5000, 0.5000, 0.5000).

Arrangement 2

This record from Alexandria via LeMat-Bulk describes TcPd4 after structural relaxation. The functional is GGA-PBE.

The space group is R-3m (No. 166, hexagonal axes) and the conventional cell measures 2.7728, 2.7728 and 34.0842 Å, with angles of 90.00, 90.00 and 120.00 degrees. The distinct sites, in fractional coordinates, are Tc at (0.0000, 0.0000, 0.0000), Pd at (0.0000, 0.0000, 0.2007) and Pd at (0.0000, 0.0000, 0.3977).

What should be chosen as the least stable of them? Choose arrangement 1.

Arrangement 1

This record from Alexandria via LeMat-Bulk describes TcPd5 after structural relaxation. The functional is GGA-PBE.

The space group is Cmmm (No. 65) and the conventional cell measures 3.9296, 11.8036 and 3.9303 Å, with angles of 90.00, 90.00 and 90.00 degrees. The distinct sites, in fractional coordinates, are Tc at (0.0000, 0.0000, 0.0000), Pd at (0.0000, 0.1633, 0.5000), Pd at (0.0000, 0.3392, 0.0000) and Pd at (0.0000, 0.5000, 0.5000).

Arrangement 2

This record from Alexandria via LeMat-Bulk describes TcPd5 after structural relaxation. The functional is GGA-PBE.

The space group is C2/m (No. 12) and the conventional cell measures 9.1835, 2.7622 and 7.9100 Å, with angles of 90.00, 115.24 and 90.00 degrees. The distinct sites, in fractional coordinates, are Tc at (0.0000, 0.0000, 0.0000), Pd at (0.0000, 0.0000, 0.5000), Pd at (0.1641, 0.5000, 0.3258) and Pd at (0.1660, 0.5000, 0.8388).

What should be chosen as the least stable of them? Choose arrangement 1.

Arrangement 1

This record from Alexandria via LeMat-Bulk describes TcPd after structural relaxation. The functional is GGA-PBE.

The space group is P2_1/m (No. 11) and the conventional cell measures 2.7285, 3.9230 and 5.5704 Å, with angles of 90.00, 91.34 and 90.00 degrees. The distinct sites, in fractional coordinates, are Tc at (0.2086, 0.2500, 0.1113) and Pd at (0.2530, 0.2500, 0.6272).

Arrangement 2

This record from Alexandria via LeMat-Bulk describes TcPd after structural relaxation. The functional is GGA-PBE.

The space group is Pmmn (No. 59, origin choice 2) and the conventional cell measures 2.7677, 4.3769 and 4.8810 Å, with angles of 90.00, 90.00 and 90.00 degrees. The distinct sites, in fractional coordinates, are Tc at (0.2500, 0.2500, 0.0839) and Pd at (0.2500, 0.7500, 0.4143).

What should be chosen as the least stable of them? Choose arrangement 2.

Arrangement 1

This record from Alexandria via LeMat-Bulk describes Tc4Pd after structural relaxation. The functional is GGA-PBE.

The space group is P2_1/c (No. 14) and the conventional cell measures 6.7341, 5.5238 and 9.1117 Å, with angles of 90.00, 119.97 and 90.00 degrees. The distinct sites, in fractional coordinates, are Tc at (0.0046, 0.1224, 0.2525), Tc at (0.1908, 0.6210, 0.0526), Tc at (0.1988, 0.1261, 0.0514), Tc at (0.3875, 0.1216, 0.8413) and Pd at (0.3979, 0.6262, 0.8489).

Arrangement 2

This record from Alexandria via LeMat-Bulk describes Tc4Pd after structural relaxation. The functional is GGA-PBE.

The space group is Pm-3m (No. 221) and the conventional cell measures 4.6235, 4.6235 and 4.6235 Å, with angles of 90.00, 90.00 and 90.00 degrees. The distinct sites, in fractional coordinates, are Tc at (0.0000, 0.0000, 0.0000), Tc at (0.0000, 0.5000, 0.5000) and Pd at (0.5000, 0.5000, 0.5000).

What should be chosen as the least stable of them? Choose arrangement 2.

Arrangement 1

This record from Alexandria via LeMat-Bulk describes TcPd2 after structural relaxation. The functional is GGA-PBE.

The space group is P6/mmm (No. 191) and the conventional cell measures 4.4459, 4.4459 and 2.6334 Å, with angles of 90.00, 90.00 and 120.00 degrees. The distinct sites, in fractional coordinates, are Tc at (0.0000, 0.0000, 0.0000) and Pd at (0.3333, 0.6667, 0.5000).

Arrangement 2

This record from Alexandria via LeMat-Bulk describes TcPd2 after structural relaxation. The functional is GGA-PBE.

The space group is I4/mmm (No. 139) and the conventional cell measures 2.7518, 2.7518 and 11.8542 Å, with angles of 90.00, 90.00 and 90.00 degrees. The distinct sites, in fractional coordinates, are Tc at (0.0000, 0.0000, 0.0000) and Pd at (0.0000, 0.0000, 0.3394).

What should be chosen as the least stable of them? Choose arrangement 1.

Arrangement 1

This record from Alexandria via LeMat-Bulk describes TcTePd3 after structural relaxation. The functional is GGA-PBE.

The space group is Pm-3m (No. 221) and the conventional cell measures 4.9113, 4.9113 and 4.9113 Å, with angles of 90.00, 90.00 and 90.00 degrees. The distinct sites, in fractional coordinates, are Tc at (0.0000, 0.0000, 0.0000), Te at (0.5000, 0.5000, 0.5000) and Pd at (0.0000, 0.5000, 0.5000).

Arrangement 2

This record from Alexandria via LeMat-Bulk describes TcTePd3 after structural relaxation. The functional is GGA-PBE.

The space group is Pm-3m (No. 221) and the conventional cell measures 4.8111, 4.8111 and 4.8111 Å, with angles of 90.00, 90.00 and 90.00 degrees. The distinct sites, in fractional coordinates, are Tc at (0.0000, 0.0000, 0.0000), Te at (0.5000, 0.5000, 0.5000) and Pd at (0.0000, 0.0000, 0.5000).

What should be chosen as the least stable of them? Choose arrangement 2.

Arrangement 1

This record from Alexandria via LeMat-Bulk describes TcTe3Pd after structural relaxation. The functional is GGA-PBE.

The space group is Amm2 (No. 38) and the conventional cell measures 4.3637, 8.5483 and 6.5085 Å, with angles of 90.00, 90.00 and 90.00 degrees. The distinct sites, in fractional coordinates, are Tc at (0.0000, 0.0000, 0.0000), Te at (0.0000, 0.1915, 0.6636), Te at (0.5000, 0.0000, 0.2193) and Pd at (0.5000, 0.0000, 0.6425).

Arrangement 2

This record from Alexandria via LeMat-Bulk describes TcTe3Pd after structural relaxation. The functional is GGA-PBE.

The space group is Pm-3m (No. 221) and the conventional cell measures 5.1815, 5.1815 and 5.1815 Å, with angles of 90.00, 90.00 and 90.00 degrees. The distinct sites, in fractional coordinates, are Tc at (0.0000, 0.0000, 0.0000), Te at (0.0000, 0.0000, 0.5000) and Pd at (0.5000, 0.5000, 0.5000).

What should be chosen as the least stable of them? Choose arrangement 2.